In8Pb: optimized geometry, GGA-PBEsol.

```
data_In8Pb
_symmetry_space_group_name_H-M 'I 4/m m m'
_symmetry_Int_Tables_number 139
_symmetry_space_group_name_Hall '-I 4 2'
_cell_length_a 9.746
_cell_length_b 9.746
_cell_length_c 4.896
_cell_angle_alpha 90.00
_cell_angle_beta 90.00
_cell_angle_gamma 90.00
loop_
_atom_site_label
_atom_site_type_symbol
_atom_site_fract_x
_atom_site_fract_y
_atom_site_fract_z
In1 In 0.000 0.336 0.000
In2 In 0.169 0.169 0.500
Pb1 Pb 0.000 0.000 0.000
```

---

In2PdRuPb: optimized geometry, GGA-PBEsol.

```
data_In2PdRuPb
_symmetry_space_group_name_H-M 'P 4/m m m'
_symmetry_Int_Tables_number 123
_symmetry_space_group_name_Hall '-P 4 2'
_cell_length_a 5.016
_cell_length_b 5.016
_cell_length_c 5.050
_cell_angle_alpha 90.00
_cell_angle_beta 90.00
_cell_angle_gamma 90.00
loop_
_atom_site_label
_atom_site_type_symbol
_atom_site_fract_x
_atom_site_fract_y
_atom_site_fract_z
In1 In 0.000 0.500 0.000
Pd1 Pd 0.000 0.000 0.500
Ru1 Ru 0.500 0.500 0.000
Pb1 Pb 0.500 0.500 0.500
```

---

no.,ΔE_f (eV/atom),Fermi-level density of states (states/eV/cell)
1,0.006,8.259
2,0.475,3.694